Compound: SrZnAg
Source: OQMD via LeMat-Bulk
Functional: PBE
Structure: optimized geometry

a b c (Å): 5.153 5.153 5.153
angles (deg): 60.00 60.00 60.00
Fractional coordinates of all 3 atoms:
Zn 0.750 0.750 0.750
Ag 0.250 0.250 0.250
Sr 0.000 0.000 0.000

## Properties
Calculated total energy (eV/f.u.): -5.3
Calculated volume (A^3/atom): 32.2


Compound: Sr4ZnAg3
Source: OQMD via LeMat-Bulk
Functional: PBE
Structure: optimized geometry

a b c (Å): 4.485 4.754 11.997
angles (deg): 90.00 90.00 90.00
Fractional coordinates of all 8 atoms:
Sr 0.000 0.000 0.141
Sr 0.500 0.000 0.640
Sr 0.500 0.500 0.359
Sr 0.000 0.500 0.859
Zn 0.500 0.500 0.063
Ag 0.000 0.500 0.571
Ag 0.000 0.000 0.429
Ag 0.500 0.000 0.937

## Properties
Calculated total energy (eV/f.u.): -18.9
Calculated volume (A^3/atom): 32.0


Compound: Sr3Zn4Ag
Source: OQMD via LeMat-Bulk
Functional: PBE
Structure: optimized geometry

a b c (Å): 6.382 4.672 7.045
angles (deg): 90.00 92.10 90.00
Fractional coordinates of all 8 atoms:
Ag 0.679 0.000 0.740
Zn 0.841 0.000 0.395
Zn 0.894 0.500 0.592
Zn 0.563 0.000 0.102
Zn 0.480 0.500 0.904
Sr 0.430 0.500 0.403
Sr 0.932 0.500 0.099
Sr 0.181 0.000 0.765

## Properties
Calculated total energy (eV/f.u.): -14.2
Calculated volume (A^3/atom): 26.2


Compound: SrZn2Ag2
Source: OQMD via LeMat-Bulk
Functional: PBE
Structure: optimized geometry

a b c (Å): 6.373 6.373 6.373
angles (deg): 139.11 139.11 59.21
Fractional coordinates of all 5 atoms:
Ag 0.750 0.250 0.500
Ag 0.250 0.750 0.500
Zn 0.385 0.385 0.000
Zn 0.615 0.615 0.000
Sr 0.000 0.000 0.000

## Properties
Calculated total energy (eV/f.u.): -11.0
Calculated volume (A^3/atom): 22.0


Compound: SrZn4Ag8
Source: OQMD via LeMat-Bulk
Functional: PBE
Structure: optimized geometry

a b c (Å): 7.229 7.229 7.229
angles (deg): 97.76 97.76 136.89
Fractional coordinates of all 13 atoms:
Ag 0.349 0.000 0.349
Ag 0.279 0.500 0.779
Ag 0.500 0.279 0.779
Ag 0.000 0.651 0.651
Ag 0.000 0.349 0.349
Ag 0.721 0.500 0.221
Ag 0.651 0.000 0.651
Ag 0.500 0.721 0.221
Zn 0.000 0.000 0.500
Zn 0.000 0.500 0.000
Zn 0.500 0.000 0.000
Zn 0.500 0.500 0.500
Sr 0.000 0.000 0.000

## Properties
Calculated total energy (eV/f.u.): -31.3
Calculated volume (A^3/atom): 18.5


Compound: SrZnAg
Source: OQMD via LeMat-Bulk
Functional: PBE
Structure: optimized geometry

a b c (Å): 6.112 6.112 6.112
angles (deg): 134.11 99.99 97.50
Fractional coordinates of all 6 atoms:
Zn 0.478 0.165 0.313
Zn 0.853 0.165 0.687
Sr 0.044 0.544 0.500
Sr 0.454 0.454 0.000
Ag 0.636 0.836 0.800
Ag 0.036 0.836 0.200

## Properties
Calculated total energy (eV/f.u.): -6.6
Calculated volume (A^3/atom): 25.2


Compound: Sr2ZnAg
Source: OQMD via LeMat-Bulk
Functional: PBE
Structure: optimized geometry

a b c (Å): 4.711 6.412 6.412
angles (deg): 40.63 90.00 90.00
Fractional coordinates of all 4 atoms:
Sr 0.000 0.357 0.357
Sr 0.500 0.643 0.643
Ag 0.000 0.066 0.066
Zn 0.500 0.933 0.933

## Properties
Calculated total energy (eV/f.u.): -8.5
Calculated volume (A^3/atom): 31.5


Compound: SrZn4Ag3
Source: OQMD via LeMat-Bulk
Functional: PBE
Structure: optimized geometry

a b c (Å): 5.521 4.379 6.553
angles (deg): 90.00 92.59 90.00
Fractional coordinates of all 8 atoms:
Ag 0.910 0.000 0.086
Ag 0.642 0.500 0.685
Ag 0.153 0.500 0.866
Zn 0.440 0.000 0.876
Zn 0.929 0.000 0.661
Zn 0.921 0.500 0.371
Zn 0.610 0.500 0.078
Sr 0.395 0.000 0.377

## Properties
Calculated total energy (eV/f.u.): -15.8
Calculated volume (A^3/atom): 19.8